# 1
Material: Ac2NdAsO8
Method: DFT, GGA-PBE
State: relaxed

Structure (POSCAR):
```
Ac2NdAsO8
1.0
5.5906 0.0000 0.0000
-2.7953 4.8416 0.0000
0.0000 0.0000 6.4449
Ac Nd As O
2 1 1 8
Cartesian
0.0000 3.2277 2.3199
2.7953 1.6139 4.1251
0.0000 0.0000 0.0000
0.0000 0.0000 3.2225
0.0000 1.4916 4.3331
-1.5036 4.0958 4.3331
1.2917 0.7458 2.1118
0.0000 3.2277 0.1264
2.7953 1.6139 6.3185
1.5036 4.0958 4.3331
4.2989 0.7458 2.1118
2.7953 3.3500 2.1118
```

## Properties
- formation energy without anion corrections (meV per atom) = -2185
- magnetization (μB/atom) = 0.172

# 2
Material: AcNdAsO2
Method: DFT, GGA-PBE
State: relaxed

Structure (POSCAR):
```
AcNdAsO2
1.0
-2.0156 2.0156 6.8445
2.0156 -2.0156 6.8445
2.0156 2.0156 -6.8445
Ac Nd As O
1 1 1 2
Cartesian
0.0000 0.0000 0.0000
0.0000 0.0000 9.3941
0.0000 0.0000 4.6655
2.0156 0.0000 1.3654
0.0000 2.0156 1.3654
```

## Properties
- formation energy without anion corrections (meV per atom) = -2561
- magnetization (μB/atom) = 0.003

# 3
Material: AcNdAsO
Method: DFT, GGA-PBE
State: relaxed

Structure (POSCAR):
```
AcNdAsO
1.0
4.5853 0.0000 0.0000
0.0000 4.5853 0.0000
0.0000 0.0000 9.7259
Ac Nd As O
2 2 2 2
Cartesian
1.1463 1.1463 1.0950
3.4390 3.4390 8.6309
1.1463 3.4390 4.8629
3.4390 1.1463 4.8629
1.1463 1.1463 6.7685
3.4390 3.4390 2.9574
1.1463 3.4390 0.0000
3.4390 1.1463 0.0000
```

## Properties
- formation energy without anion corrections (meV per atom) = -1943
- magnetization (μB/atom) = 0.000

# 4
Material: AcNdAsP
Method: DFT, GGA-PBE
State: relaxed

Structure (POSCAR):
```
AcNdAsP
1.0
2.1454 1.2387 7.4704
-2.1454 1.2387 7.4704
0.0000 -2.4773 7.4704
Ac Nd As P
1 1 1 1
Cartesian
0.0000 0.0000 0.0000
0.0000 0.0000 3.7417
0.0000 0.0000 13.0099
0.0000 0.0000 9.4290
```

## Properties
- calculated total energy (eV for the cell shown) = -24.2
- magnetization (μB/atom) = 0.000

# 5
Material: AcNdAs2Pd2
Method: DFT, GGA-PBE
State: relaxed

Structure (POSCAR):
```
AcNdAs2Pd2
1.0
4.4400 0.0000 0.0000
-2.2200 3.8451 0.0000
0.0000 0.0000 8.1044
Ac Nd As Pd
1 1 2 2
Cartesian
0.0000 0.0000 0.0000
0.0000 0.0000 4.0522
0.0000 2.5634 2.1541
2.2200 1.2817 5.9503
0.0000 2.5634 5.9901
2.2200 1.2817 2.1143
```

## Properties
- calculated total energy (eV for the cell shown) = -35.7
- magnetization (μB/atom) = 0.000

# 6
Material: Ac2NdAs4Pd3
Method: DFT, GGA-PBE
State: relaxed

Structure (POSCAR):
```
Ac2NdAs4Pd3
1.0
4.5814 0.0000 0.0000
0.0000 4.5814 0.0000
0.0000 0.0000 11.1038
Ac Nd As Pd
2 1 4 3
Cartesian
0.0000 2.2907 2.3854
2.2907 0.0000 8.7184
0.0000 0.0000 5.5519
0.0000 0.0000 0.0000
0.0000 2.2907 7.3275
2.2907 0.0000 3.7763
2.2907 2.2907 0.0000
0.0000 2.2907 9.9039
2.2907 0.0000 1.1999
2.2907 2.2907 5.5519
```

## Properties
- calculated total energy (eV for the cell shown) = -57.0
- magnetization (μB/atom) = 0.000

# 7
Material: AcPr2NdAs4
Method: DFT, GGA-PBE
State: relaxed

Structure (POSCAR):
```
AcPr2NdAs4
1.0
7.5553 0.0000 0.0000
0.0000 4.3639 0.0000
-2.5099 0.0000 7.1270
Ac Pr Nd As
1 2 1 4
Cartesian
0.0000 0.0000 0.0000
2.5227 0.0000 3.5635
3.7777 2.1819 0.0000
-1.2549 2.1819 3.5635
0.0383 0.0000 5.3085
1.2943 2.1819 1.8443
3.7511 2.1819 5.2828
5.0071 0.0000 1.8186
```

## Properties
- calculated total energy (eV for the cell shown) = -48.9
- magnetization (μB/atom) = 0.000

# 8
Material: Ac2Pr3NdAs6
Method: DFT, GGA-PBE
State: relaxed

Structure (POSCAR):
```
Ac2Pr3NdAs6
1.0
9.5592 -2.1932 0.0000
9.5592 2.1932 0.0000
-2.0239 0.0000 8.5442
Ac Pr Nd As
2 3 1 6
Cartesian
2.4912 0.0000 2.8302
14.6034 0.0000 5.7140
1.4924 0.0000 7.1321
8.5473 0.0000 4.2721
15.6021 0.0000 1.4120
9.5592 0.0000 0.0000
-1.4666 0.0000 6.4379
4.5212 0.0000 7.9071
5.5965 0.0000 3.5005
11.4981 0.0000 5.0437
12.5733 0.0000 0.6371
18.5612 0.0000 2.1063
```

## Properties
- calculated total energy (eV for the cell shown) = -73.0
- magnetization (μB/atom) = 0.000

# 9
Material: AcNdAsPt
Method: DFT, GGA-PBE
State: relaxed

Structure (POSCAR):
```
AcNdAsPt
1.0
0.0000 3.7470 3.7470
3.7470 0.0000 3.7470
3.7470 3.7470 0.0000
Ac Nd As Pt
1 1 1 1
Cartesian
0.0000 0.0000 0.0000
3.7470 3.7470 3.7470
5.6205 5.6205 5.6205
1.8735 1.8735 1.8735
```

## Properties
- calculated total energy (eV for the cell shown) = -23.5
- magnetization (μB/atom) = 0.059

# 10
Material: Ac2NdAs3Pt4
Method: DFT, GGA-PBE
State: relaxed

Structure (POSCAR):
```
Ac2NdAs3Pt4
1.0
4.4501 0.0000 0.0000
0.0000 4.4501 0.0000
0.0000 0.0000 11.4890
Ac Nd As Pt
2 1 3 4
Cartesian
0.0000 2.2251 2.5212
2.2251 0.0000 8.9678
0.0000 0.0000 5.7445
0.0000 2.2251 10.1245
2.2251 0.0000 1.3645
2.2251 2.2251 5.7445
0.0000 0.0000 0.0000
0.0000 2.2251 7.6324
2.2251 0.0000 3.8565
2.2251 2.2251 0.0000
```

## Properties
- calculated total energy (eV for the cell shown) = -60.6
- magnetization (μB/atom) = 0.000

# 11
Material: AcNdAs2Pt2
Method: DFT, GGA-PBE
State: relaxed

Structure (POSCAR):
```
AcNdAs2Pt2
1.0
4.4003 0.0000 0.0000
-2.2001 3.8108 0.0000
0.0000 0.0000 8.2973
Ac Nd As Pt
1 1 2 2
Cartesian
0.0000 0.0000 0.0000
0.0000 0.0000 4.1486
0.0000 2.5405 2.2352
2.2001 1.2703 6.0621
0.0000 2.5405 6.1772
2.2001 1.2703 2.1201
```

## Properties
- calculated total energy (eV for the cell shown) = -37.8
- magnetization (μB/atom) = 0.000

# 12
Material: Ac2NdAs3Pt12
Method: DFT, GGA-PBE
State: relaxed

Structure (POSCAR):
```
Ac2NdAs3Pt12
1.0
4.2649 2.4623 6.3817
-4.2649 2.4623 6.3817
0.0000 -4.9247 6.3817
Ac Nd As Pt
2 1 3 12
Cartesian
0.0000 0.0000 2.0071
0.0000 0.0000 17.1380
0.0000 0.0000 9.5725
-2.1325 -1.2312 6.3817
-2.1324 1.2312 12.7634
0.0000 2.4623 6.3817
-2.3131 -1.3355 8.8157
0.0000 -2.2523 5.8072
-1.9505 1.1261 5.8072
0.0000 -2.6709 10.3294
-2.3131 1.3355 10.3294
-1.9505 -1.1262 13.3379
1.9505 1.1261 5.8072
2.3131 -1.3355 8.8156
0.0000 2.6709 8.8156
1.9505 -1.1261 13.3378
0.0000 2.2523 13.3378
2.3131 1.3355 10.3294
```

## Properties
- calculated total energy (eV for the cell shown) = -105.1
- magnetization (μB/atom) = 0.000